! CeNdP2 GGA-PBE optimized geometry; values from VASP
! Offset from the most stable computed form in eV/atom: 0.187
! Space group: R3m
! D(E_F) in states/eV/f.u.: 6.03
! Formation energy from the elements in kJ per mole of atoms: -129.4
&SYSTEM
  ibrav = 0, nat = 4, ntyp = 3
/
ATOMIC_SPECIES
Ce 140.12 Ce.upf
Nd 144.24 Nd.upf
P 30.97 P.upf
ATOMIC_POSITIONS crystal
Ce 0.498 0.498 0.507
Nd 0.670 0.670 0.990
P 0.084 0.084 0.749
P 0.249 0.249 0.253
CELL_PARAMETERS angstrom
4.055 0.000 0.000
2.027 3.512 0.000
2.027 1.171 7.129